[1]
## CoSnMoPd (PBE)

Data for a relaxed CoSnMoPd crystal.

* total magnetic moment: 0.28 μB per cell
* uncorrected energy: -6.61 eV/atom

Lattice parameters (Å, degrees): 6.290 6.290 6.290 90.00 90.00 90.00
Space group F-43m (No. 216)
One atom of each set of equivalent atoms:
Co1 0.000 0.000 0.000 (multiplicity 4)
Sn1 0.250 0.250 0.750 (multiplicity 4)
Mo1 0.250 0.250 0.250 (multiplicity 4)
Pd1 0.000 0.000 0.500 (multiplicity 4)



[2]
## NdHfNb (PBE)

Data for a relaxed NdHfNb crystal.

* total magnetic moment: 0.04 μB per cell
* ΔE_f: 1.40 eV/atom

Lattice parameters (Å, degrees): 6.805 6.805 6.805 90.00 90.00 90.00
Space group F-43m (No. 216)
One atom of each set of equivalent atoms:
Nd1 0.000 0.000 0.000 (multiplicity 4)
Hf1 0.250 0.250 0.750 (multiplicity 4)
Nb1 0.250 0.250 0.250 (multiplicity 4)



[3]
## HfCu2Te2Se (PBE)

Data for a relaxed HfCu2Te2Se crystal.

* total magnetic moment: 0.01 μB per cell
* uncorrected energy: -5.05 eV/atom

Lattice parameters (Å, degrees): 19.827 3.999 7.123 90.00 97.06 90.00
Space group C2/m (No. 12)
One atom of each set of equivalent atoms:
Hf1 0.154 0.000 0.057 (multiplicity 4)
Cu1 0.048 0.500 0.149 (multiplicity 4)
Cu2 0.213 0.000 0.444 (multiplicity 4)
Te1 0.083 0.000 0.368 (multiplicity 4)
Te2 0.086 0.500 0.817 (multiplicity 4)
Se1 0.247 0.500 0.214 (multiplicity 4)



total magnetic moment of number 3 (HfCu2Te2Se)? 0.01 μB per cell



Among the records above, which one has the highest total magnetic moment? CoSnMoPd